Entry 1:
# TlSeCl2 SCAN PBEsol geometry
data_TlSeCl2
_chemical_formula_sum 'Tl1 Se1 Cl2'
_space_group_name_H-M_alt 'P 1'
_space_group_IT_number 1
_space_group_name_Hall 'P 1'
_cell_length_a 4.181
_cell_length_b 4.012
_cell_length_c 6.178
_cell_angle_alpha 102.08
_cell_angle_beta 90.00
_cell_angle_gamma 90.00
loop_
_atom_site_label
_atom_site_type_symbol
_atom_site_fract_x
_atom_site_fract_y
_atom_site_fract_z
Tl1 Tl 0.500 0.500 0.000
Se1 Se 0.500 0.000 0.500
Cl1 Cl 0.000 0.864 0.719
Cl2 Cl 0.000 0.136 0.281
# **N(E_F)**: 0.9 states/eV/cell
# **Offset from the most stable computed form**: 0.000 eV per atom
# **Mass density**: 5.81 Mg/m³
# **Volume**: 25.33 A^3/atom
# **Space group**: P2/m (10)

Entry 2:
# LiZnHg2 SCAN PBEsol geometry
data_LiZnHg2
_chemical_formula_sum 'Li1 Zn1 Hg2'
_space_group_name_H-M_alt 'P 1'
_space_group_IT_number 1
_space_group_name_Hall 'P 1'
_cell_length_a 3.500
_cell_length_b 3.500
_cell_length_c 5.891
_cell_angle_alpha 90.00
_cell_angle_beta 90.00
_cell_angle_gamma 90.00
loop_
_atom_site_label
_atom_site_type_symbol
_atom_site_fract_x
_atom_site_fract_y
_atom_site_fract_z
Zn1 Zn 0.500 0.500 0.746
Hg1 Hg 0.000 0.000 0.971
Hg2 Hg 0.500 0.500 0.285
Li1 Li 0.000 0.000 0.498
# **N(E_F)**: 1.1 states/eV/cell
# **Mass density**: 10.90 Mg/m³
# **Volume**: 18.04 A^3/atom
# **Uncorrected energy**: -38.23 eV/atom
# **Space group**: P4mm (99)

Entry 3:
# Li3Cr SCAN PBEsol geometry
data_Li3Cr
_chemical_formula_sum 'Li3 Cr1'
_space_group_name_H-M_alt 'P 1'
_space_group_IT_number 1
_space_group_name_Hall 'P 1'
_cell_length_a 2.536
_cell_length_b 4.849
_cell_length_c 4.849
_cell_angle_alpha 90.00
_cell_angle_beta 90.00
_cell_angle_gamma 90.00
loop_
_atom_site_label
_atom_site_type_symbol
_atom_site_fract_x
_atom_site_fract_y
_atom_site_fract_z
Cr1 Cr 0.000 0.000 0.000
Li1 Li 0.500 0.500 0.000
Li2 Li 0.000 0.500 0.500
Li3 Li 0.500 0.000 0.500
# **N(E_F)**: 1.6 states/eV/cell
# **Offset from the most stable computed form**: 0.156 eV per atom
# **Mass density**: 2.03 Mg/m³
# **Volume**: 14.90 A^3/atom
# **Space group**: P4/mmm (123)

Entry 4:
# TaAgBr2 SCAN PBEsol geometry
data_TaAgBr2
_chemical_formula_sum 'Ta1 Ag1 Br2'
_space_group_name_H-M_alt 'P 1'
_space_group_IT_number 1
_space_group_name_Hall 'P 1'
_cell_length_a 3.829
_cell_length_b 3.829
_cell_length_c 6.058
_cell_angle_alpha 108.42
_cell_angle_beta 108.42
_cell_angle_gamma 90.00
loop_
_atom_site_label
_atom_site_type_symbol
_atom_site_fract_x
_atom_site_fract_y
_atom_site_fract_z
Br1 Br 0.000 0.000 0.000
Br2 Br 0.750 0.250 0.500
Ag1 Ag 0.250 0.750 0.500
Ta1 Ta 0.500 0.500 0.000
# **N(E_F)**: 3.3 states/eV/cell
# **Offset from the most stable computed form**: 0.219 eV per atom
# **Mass density**: 9.37 Mg/m³
# **Volume**: 19.87 A^3/atom
# **Space group**: I-4m2 (119)

Entry 5:
# PdWI2N SCAN PBEsol geometry
data_PdWI2N
_chemical_formula_sum 'Pd1 W1 I2 N1'
_space_group_name_H-M_alt 'P 1'
_space_group_IT_number 1
_space_group_name_Hall 'P 1'
_cell_length_a 3.606
_cell_length_b 5.522
_cell_length_c 5.522
_cell_angle_alpha 90.00
_cell_angle_beta 90.00
_cell_angle_gamma 90.00
loop_
_atom_site_label
_atom_site_type_symbol
_atom_site_fract_x
_atom_site_fract_y
_atom_site_fract_z
I1 I 0.000 0.000 0.500
I2 I 0.000 0.500 0.000
Pd1 Pd 0.000 0.000 0.000
W1 W 0.500 0.500 0.500
N1 N 0.500 0.000 0.000
# **N(E_F)**: 3.4 states/eV/cell
# **Mass density**: 8.43 Mg/m³
# **Volume**: 21.99 A^3/atom
# **Uncorrected energy**: -35.40 eV/atom
# **Space group**: P4/mmm (123)

Entry 6:
# Ni3Ir SCAN PBEsol geometry
data_Ni3Ir
_chemical_formula_sum 'Ni3 Ir1'
_space_group_name_H-M_alt 'P 1'
_space_group_IT_number 1
_space_group_name_Hall 'P 1'
_cell_length_a 2.574
_cell_length_b 4.108
_cell_length_c 4.343
_cell_angle_alpha 90.00
_cell_angle_beta 90.00
_cell_angle_gamma 90.00
loop_
_atom_site_label
_atom_site_type_symbol
_atom_site_fract_x
_atom_site_fract_y
_atom_site_fract_z
Ni1 Ni 0.000 0.500 0.339
Ni2 Ni 0.500 0.000 0.499
Ni3 Ni 0.500 0.500 0.831
Ir1 Ir 0.000 0.000 0.998
# **N(E_F)**: 5.3 states/eV/cell
# **Mass density**: 13.32 Mg/m³
# **Volume**: 11.48 A^3/atom
# **Uncorrected energy**: -29.86 eV/atom
# **Space group**: Pmm2 (25)

Entry 7:
# CuAs2O4 SCAN PBEsol geometry
data_CuAs2O4
_chemical_formula_sum 'Cu4 As8 O16'
_space_group_name_H-M_alt 'P 1'
_space_group_IT_number 1
_space_group_name_Hall 'P 1'
_cell_length_a 5.563
_cell_length_b 8.602
_cell_length_c 8.602
_cell_angle_alpha 90.00
_cell_angle_beta 90.00
_cell_angle_gamma 90.00
loop_
_atom_site_label
_atom_site_type_symbol
_atom_site_fract_x
_atom_site_fract_y
_atom_site_fract_z
Cu1 Cu 0.250 0.500 0.000
Cu2 Cu 0.750 0.000 0.500
Cu3 Cu 0.750 0.500 0.000
Cu4 Cu 0.250 0.000 0.500
As1 As 0.000 0.841 0.799
As2 As 0.500 0.799 0.159
As3 As 0.500 0.201 0.841
As4 As 0.000 0.159 0.201
As5 As 0.000 0.341 0.701
As6 As 0.000 0.659 0.299
As7 As 0.500 0.701 0.659
As8 As 0.500 0.299 0.341
O1 O 0.500 0.407 0.873
O2 O 0.500 0.593 0.127
O3 O 0.000 0.127 0.407
O4 O 0.000 0.873 0.593
O5 O 0.000 0.373 0.907
O6 O 0.500 0.907 0.627
O7 O 0.500 0.093 0.373
O8 O 0.000 0.627 0.093
O9 O 0.750 0.201 0.701
O10 O 0.250 0.701 0.799
O11 O 0.250 0.299 0.201
O12 O 0.750 0.799 0.299
O13 O 0.250 0.201 0.701
O14 O 0.750 0.701 0.799
O15 O 0.750 0.299 0.201
O16 O 0.250 0.799 0.299
# **N(E_F)**: 0.0 states/eV/cell
# **Mass density**: 4.48 Mg/m³
# **Volume**: 14.70 A^3/atom
# **Uncorrected energy**: -12.67 eV/atom
# **Space group**: P4_2/mbc (135)

Entry 8:
# RbSnSe2Br SCAN PBEsol geometry
data_RbSnSe2Br
_chemical_formula_sum 'Rb1 Sn1 Se2 Br1'
_space_group_name_H-M_alt 'P 1'
_space_group_IT_number 1
_space_group_name_Hall 'P 1'
_cell_length_a 5.261
_cell_length_b 5.261
_cell_length_c 5.741
_cell_angle_alpha 90.00
_cell_angle_beta 90.00
_cell_angle_gamma 90.00
loop_
_atom_site_label
_atom_site_type_symbol
_atom_site_fract_x
_atom_site_fract_y
_atom_site_fract_z
Br1 Br 0.000 0.000 0.500
Se1 Se 0.000 0.500 0.000
Se2 Se 0.500 0.000 0.000
Sn1 Sn 0.000 0.000 0.000
Rb1 Rb 0.500 0.500 0.500
# **N(E_F)**: 1.9 states/eV/cell
# **Mass density**: 4.62 Mg/m³
# **Volume**: 31.77 A^3/atom
# **Uncorrected energy**: -23.95 eV/atom
# **Space group**: P4/mmm (123)

Entry 9:
# Ti3Bi6WO18 SCAN PBEsol geometry
data_Ti3Bi6WO18
_chemical_formula_sum 'Ti3 Bi6 W1 O18'
_space_group_name_H-M_alt 'P 1'
_space_group_IT_number 1
_space_group_name_Hall 'P 1'
_cell_length_a 5.361
_cell_length_b 5.396
_cell_length_c 12.760
_cell_angle_alpha 89.85
_cell_angle_beta 78.08
_cell_angle_gamma 90.03
loop_
_atom_site_label
_atom_site_type_symbol
_atom_site_fract_x
_atom_site_fract_y
_atom_site_fract_z
Ti1 Ti 0.668 0.044 0.172
Ti2 Ti 0.839 0.051 0.823
Ti3 Ti 0.341 0.554 0.821
Bi1 Bi 0.424 0.993 0.604
Bi2 Bi 0.024 0.002 0.398
Bi3 Bi 0.562 0.493 0.397
Bi4 Bi 0.963 0.498 0.604
Bi5 Bi 0.760 0.503 0.986
Bi6 Bi 0.264 0.010 0.987
W1 W 0.172 0.553 0.172
O1 O 0.251 0.262 0.498
O2 O 0.751 0.264 0.502
O3 O 0.740 0.762 0.501
O4 O 0.241 0.761 0.498
O5 O 0.637 0.370 0.833
O6 O 0.455 0.365 0.178
O7 O 0.363 0.859 0.179
O8 O 0.530 0.869 0.833
O9 O 0.676 0.090 0.006
O10 O 0.319 0.589 0.007
O11 O 0.099 0.288 0.869
O12 O 0.973 0.294 0.134
O13 O 0.906 0.785 0.136
O14 O 0.035 0.787 0.868
O15 O 0.662 0.074 0.313
O16 O 0.965 0.057 0.683
O17 O 0.352 0.558 0.682
O18 O 0.028 0.556 0.315
# **N(E_F)**: 0.0 states/eV/cell
# **Mass density**: 8.59 Mg/m³
# **Volume**: 12.90 A^3/atom
# **Uncorrected energy**: -27.11 eV/atom
# **Space group**: P1 (1)

Entry 10:
# Y2SiAg2 SCAN PBEsol geometry
data_Y2SiAg2
_chemical_formula_sum 'Y2 Si1 Ag2'
_space_group_name_H-M_alt 'P 1'
_space_group_IT_number 1
_space_group_name_Hall 'P 1'
_cell_length_a 3.670
_cell_length_b 3.670
_cell_length_c 8.727
_cell_angle_alpha 102.14
_cell_angle_beta 102.14
_cell_angle_gamma 90.00
loop_
_atom_site_label
_atom_site_type_symbol
_atom_site_fract_x
_atom_site_fract_y
_atom_site_fract_z
Y1 Y 0.402 0.402 0.804
Y2 Y 0.598 0.598 0.196
Si1 Si 0.000 0.000 0.000
Ag1 Ag 0.250 0.750 0.500
Ag2 Ag 0.750 0.250 0.500
# **N(E_F)**: 3.6 states/eV/cell
# **Mass density**: 6.24 Mg/m³
# **Volume**: 22.45 A^3/atom
# **Uncorrected energy**: -25.88 eV/atom
# **Space group**: I4/mmm (139)

Entry 11:
# KBeCu2 SCAN PBEsol geometry
data_KBeCu2
_chemical_formula_sum 'K1 Be1 Cu2'
_space_group_name_H-M_alt 'P 1'
_space_group_IT_number 1
_space_group_name_Hall 'P 1'
_cell_length_a 4.058
_cell_length_b 4.058
_cell_length_c 4.897
_cell_angle_alpha 114.48
_cell_angle_beta 114.48
_cell_angle_gamma 90.00
loop_
_atom_site_label
_atom_site_type_symbol
_atom_site_fract_x
_atom_site_fract_y
_atom_site_fract_z
Be1 Be 0.250 0.750 0.500
K1 K 0.500 0.500 0.000
Cu1 Cu 0.000 0.000 0.000
Cu2 Cu 0.750 0.250 0.500
# **N(E_F)**: 1.3 states/eV/cell
# **Mass density**: 4.45 Mg/m³
# **Volume**: 16.34 A^3/atom
# **Uncorrected energy**: -9.76 eV/atom
# **Space group**: I-4m2 (119)

Entry 12:
# FeBiF2 SCAN PBEsol geometry
data_FeBiF2
_chemical_formula_sum 'Fe1 Bi1 F2'
_space_group_name_H-M_alt 'P 1'
_space_group_IT_number 1
_space_group_name_Hall 'P 1'
_cell_length_a 4.356
_cell_length_b 4.356
_cell_length_c 4.356
_cell_angle_alpha 60.00
_cell_angle_beta 60.00
_cell_angle_gamma 60.00
loop_
_atom_site_label
_atom_site_type_symbol
_atom_site_fract_x
_atom_site_fract_y
_atom_site_fract_z
F1 F 0.250 0.250 0.250
F2 F 0.750 0.750 0.750
Bi1 Bi 0.500 0.500 0.500
Fe1 Fe 0.000 0.000 0.000
# **N(E_F)**: 0.7 states/eV/cell
# **Mass density**: 8.60 Mg/m³
# **Volume**: 14.61 A^3/atom
# **Uncorrected energy**: -26.72 eV/atom
# **Space group**: Fm-3m (225)

What is the formula in the ninth record?
Ti3Bi6WO18